1.
Crystalline SrLiV at its relaxed geometry. Source: Alexandria, functional GGA-PBE.

DOS at the Fermi energy = 6.67 states/eV/cell
energy = -3.20 eV per atom
ΔE_f = 1.034 eV per atom
spin magnetization = 8.3 Bohr magnetons per cell

Cell: 4.8127 4.8127 8.1044 Å, 90.00 90.00 90.00°
Last column: nearest neighbours and their distance in Å.
Space group P4/nmm (No. 129, origin choice 2)
Unique sites:
Sr: 0.2500 0.7500 0.0000 (multiplicity 2)  4 Sr 3.40, 4 V 3.46, 4 Li 3.62
Li: 0.2500 0.2500 0.3330 (multiplicity 2)  1 V 2.92
V: 0.2500 0.2500 0.6932 (multiplicity 2)  1 Li 2.92


2.
Crystalline K8Hg2Sb at its relaxed geometry. Source: Alexandria, functional GGA-PBE.

DOS at the Fermi energy = 13.39 states/eV/cell
energy = -1.41 eV per atom
energy relative to the elements, uncorrected = -0.18 eV per atom
spin magnetization = 0.0 Bohr magnetons per cell

Cell: 5.8377 9.6968 17.5052 Å, 90.00 90.00 90.00°
Last column: nearest neighbours and their distance in Å.
Space group Immm (No. 71)
Unique sites:
K: 0.0000 0.0000 0.1396 (multiplicity 4)  6 K 3.74-3.95, 2 Sb 3.81, 2 Hg 4.16
K: 0.0000 0.2273 0.3473 (multiplicity 8)  3 Hg 3.72-3.80, 1 Sb 3.76, 4 K 3.95-3.96
K: 0.0000 0.2926 0.0000 (multiplicity 4)  7 K 3.74-4.02, 2 Hg 3.91, 2 Sb 4.07
Hg: 0.0000 0.5000 0.1913 (multiplicity 4)  10 K 3.72-4.16
Sb: 0.0000 0.5000 0.5000 (multiplicity 2)  12 K 3.76-4.07


3.
Crystalline LiZnCu2Ni2 at its relaxed geometry. Source: Alexandria, functional GGA-PBE.

DOS at the Fermi energy = 6.85 states/eV/cell
energy = -3.84 eV per atom
ΔE_f = -0.021 eV per atom
spin magnetization = 0.0 Bohr magnetons per cell

Cell: 4.6998 5.0248 6.2509 Å, 90.00 94.58 90.00°
Last column: nearest neighbours and their distance in Å.
Space group P2_1/m (No. 11)
Unique sites:
Li: 0.2203 0.2500 0.1479 (multiplicity 2)  2 Cu 2.49-2.55, 3 Zn 2.51-2.59, 6 Ni 2.56-2.74
Zn: 0.2197 0.7500 0.1298 (multiplicity 2)  6 Ni 2.47-2.75, 3 Li 2.51-2.59, 2 Cu 2.55-2.56
Cu: 0.0042 0.7500 0.4937 (multiplicity 2)  4 Cu 2.33-2.51, 4 Ni 2.52-2.56, 1 Li 2.55, 1 Zn 2.56
Cu: 0.4992 0.2500 0.5042 (multiplicity 2)  4 Cu 2.33-2.51, 1 Li 2.49, 4 Ni 2.50-2.55, 1 Zn 2.55
Ni: 0.2856 0.0010 0.7978 (multiplicity 4)  3 Zn 2.47-2.75, 4 Cu 2.50-2.56, 2 Ni 2.50-2.52, 3 Li 2.56-2.74